Entry 1:
Entry from the Alexandria database: an optimized crystal structure of P3RuS (GGA-PBE).

symmetry = Pm-3m
E_form (uncorrected) = 3.64 eV/f.u.
offset from the most stable computed form = 0 meV per atom

The structure in POSCAR format:
```
P3RuS
1.0
-1.3955 -4.2514 -0.8419
4.3319 -1.3409 -0.4088
0.1338 -0.9263 4.4558
Ru S P
1 1 3
Direct
0.0000 0.0000 0.0000 Ru
0.5000 0.5000 0.5000 S
0.0000 0.5000 0.0000 P
0.0000 0.0000 0.5000 P
0.5000 0.0000 0.0000 P
```

---

Entry 2:
Entry from the Alexandria database: an optimized crystal structure of LiSc2Tl (GGA-PBE).

symmetry = R-3m
uncorrected energy = -16.8 eV for the cell shown

The structure in POSCAR format:
```
LiSc2Tl
1.0
-6.5656 6.5180 4.4670
-8.2857 3.7052 4.8130
-5.9670 4.5147 7.0397
Li Sc Tl
1 2 1
Direct
0.7500 0.7500 0.7500 Li
0.9995 0.9995 0.9995 Sc
0.5005 0.5005 0.5005 Sc
0.2500 0.2500 0.2500 Tl
```

---

Entry 3:
Entry from the Alexandria database: an optimized crystal structure of La8Si3Te4Br (GGA-PBE).

symmetry = R-3m
E_form (uncorrected) = -20.78 eV/f.u.

The structure in POSCAR format:
```
La8Si3Te4Br
1.0
-1.3912 -0.3241 -8.8136
4.9453 -7.5753 -0.5020
-6.9423 0.3607 5.6051
La Si Te Br
8 3 4 1
Direct
0.2492 0.7274 0.9780 La
0.2496 0.7275 0.4991 La
0.2586 0.2755 0.5171 La
0.7288 0.7274 0.9780 La
0.2712 0.2726 0.0220 La
0.7414 0.7245 0.4829 La
0.7504 0.2725 0.5009 La
0.7508 0.2726 0.0220 La
0.5000 0.5000 0.0000 Si
0.5000 0.5000 0.5000 Si
0.0000 0.5000 0.5000 Si
0.5000 0.0000 0.0000 Te
0.5000 0.0000 0.5000 Te
0.0000 0.0000 0.0000 Te
0.0000 0.0000 0.5000 Te
0.0000 0.5000 0.0000 Br
```

---

Number 1: density of states at the Fermi level 0.98 states/eV/atom. Number 2: density of states at the Fermi level 1.28 states/eV/atom. Number 3: density of states at the Fermi level 0.34 states/eV/atom.